Entry 1:
A plane-wave DFT calculation with PBE was carried out for a geometry-optimized VFe3H4 structure.

a = 5.2506 Å, b = 7.4604 Å, c = 2.6425 Å
α = 90.00°, β = 90.00°, γ = 90.00°
With the nearest neighbours (Å) after each atom.
Fractional coordinates of all 16 atoms:
V: 0.0000 0.0000 0.0000  6 H 1.92-1.93
V: 0.5000 0.5000 0.0000  6 H 1.92-1.93
Fe: 0.0000 0.5000 0.0000  6 H 1.80-1.81
Fe: 0.2500 0.2500 0.5000  6 H 1.86-1.87
Fe: 0.2500 0.7500 0.5000  6 H 1.86-1.87
Fe: 0.5000 0.0000 0.0000  6 H 1.80-1.81
Fe: 0.7500 0.2500 0.5000  6 H 1.86-1.87
Fe: 0.7500 0.7500 0.5000  6 H 1.86-1.87
H: 0.0000 0.2586 0.0000  5 Fe 1.80-1.86, 1 V 1.93
H: 0.0000 0.7414 0.0000  5 Fe 1.80-1.86, 1 V 1.93
H: 0.2349 0.5000 0.5000  4 Fe 1.81-1.87, 2 V 1.92
H: 0.2651 0.0000 0.5000  4 Fe 1.81-1.87, 2 V 1.92
H: 0.5000 0.2414 0.0000  5 Fe 1.80-1.86, 1 V 1.93
H: 0.5000 0.7586 0.0000  5 Fe 1.80-1.86, 1 V 1.93
H: 0.7349 0.0000 0.5000  4 Fe 1.81-1.87, 2 V 1.92
H: 0.7651 0.5000 0.5000  4 Fe 1.81-1.87, 2 V 1.92

Values from the calculation:
SG ... Cmmm, No. 65
Calculated total energy ... -96.788 eV for the cell shown


Entry 2:
A plane-wave DFT calculation with PBE was carried out for a geometry-optimized ErTmAg structure.

a = 5.0058 Å, b = 5.0058 Å, c = 3.5948 Å
α = 90.00°, β = 90.00°, γ = 120.00°
With the nearest neighbours (Å) after each atom.
Fractional coordinates of all 3 atoms:
Er: 0.0000 0.0000 0.0000  3 Ag 3.05, 3 Tm 3.34
Tm: 0.3333 0.6667 0.4633  3 Ag 3.04, 3 Er 3.34
Ag: 0.6667 0.3333 0.7246  3 Tm 3.04, 3 Er 3.05

Values from the calculation:
Energy of formation ... -0.1 eV per formula unit
Relative energy among the computed polymorphs ... 136 meV per atom
SG ... P3m1, No. 156


Number 1: V 104 Å³/cell, spin magnetization 1.8 μB per formula unit. Number 2: V 78 Å³/cell, spin magnetization 0.0 μB per formula unit.